No. 1
AlPt2F | PBE-GGA | relaxed

a = 4.261 Å, b = 4.261 Å, c = 4.261 Å
α = 60.00°, β = 60.00°, γ = 60.00°
Element x y z (fractional)
Al: 0.000 0.000 0.000
Pt: 0.250 0.250 0.250
Pt: 0.750 0.750 0.750
F: 0.500 0.500 0.500

## Properties
E_form (uncorrected) (eV per atom): -0.67
Distance to the lowest polymorph of the same formula (meV/atom): 16
Space group: Fm-3m (225)

No. 2
LaYMg2Cu | PBE-GGA | relaxed

a = 5.036 Å, b = 5.036 Å, c = 5.354 Å
α = 90.00°, β = 90.00°, γ = 90.00°
Element x y z (fractional)
La: 0.000 0.000 0.000
Y: 0.500 0.500 0.000
Mg: 0.000 0.500 0.500
Mg: 0.500 0.000 0.500
Cu: 0.500 0.500 0.500

## Properties
Space group: P4/mmm (123)
Formation enthalpy at 0 K (eV/atom): 0.04

No. 3
Rb2TaBiO6 | PBE-GGA | relaxed

a = 5.908 Å, b = 5.908 Å, c = 5.908 Å
α = 60.00°, β = 60.00°, γ = 60.00°
Element x y z (fractional)
Rb: 0.250 0.250 0.250
Rb: 0.750 0.750 0.750
Ta: 0.000 0.000 0.000
Bi: 0.500 0.500 0.500
O: 0.241 0.241 0.759
O: 0.241 0.759 0.241
O: 0.241 0.759 0.759
O: 0.759 0.241 0.241
O: 0.759 0.241 0.759
O: 0.759 0.759 0.241

## Properties
E_form (uncorrected) (eV per atom): -1.79
Space group: Fm-3m (225)

No. 4
NiBiSe | PBE-GGA | relaxed

a = 6.444 Å, b = 6.444 Å, c = 7.388 Å
α = 123.01°, β = 123.01°, γ = 33.02°
Element x y z (fractional)
Ni: 0.000 0.000 0.000
Ni: 0.593 0.593 0.301
Bi: 0.328 0.328 0.948
Bi: 0.869 0.869 0.559
Se: 0.086 0.086 0.481
Se: 0.629 0.629 0.022

## Properties
E_form (uncorrected) (eV per atom): -0.17
Space group: Cm (8)

No. 5
CsRbBrCl | PBE-GGA | relaxed

a = 5.961 Å, b = 5.961 Å, c = 5.961 Å
α = 60.00°, β = 60.00°, γ = 60.00°
Element x y z (fractional)
Cs: 0.000 0.000 0.000
Rb: 0.500 0.500 0.500
Br: 0.750 0.750 0.750
Cl: 0.250 0.250 0.250

## Properties
E_form (uncorrected) (eV per atom): -1.80
Space group: F-43m (216)

No. 6
TmMg2In | PBE-GGA | relaxed

a = 4.476 Å, b = 4.476 Å, c = 4.777 Å
α = 90.00°, β = 90.00°, γ = 90.00°
Element x y z (fractional)
Tm: 0.000 0.000 0.000
Mg: 0.000 0.500 0.500
Mg: 0.500 0.000 0.500
In: 0.500 0.500 0.000

## Properties
Distance to the lowest polymorph of the same formula (meV/atom): 0
Space group: P4/mmm (123)
Formation enthalpy at 0 K (eV/atom): -0.25

No. 7
Cs3WS4 | PBE-GGA | relaxed

a = 7.247 Å, b = 7.247 Å, c = 7.247 Å
α = 110.95°, β = 110.95°, γ = 106.55°
Element x y z (fractional)
Cs: 0.000 0.000 0.000
Cs: 0.250 0.750 0.500
Cs: 0.750 0.250 0.500
W: 0.500 0.500 0.000
S: 0.300 0.300 0.601
S: 0.300 0.700 0.000
S: 0.700 0.300 0.000
S: 0.700 0.700 0.399

## Properties
E_form (uncorrected) (eV per atom): -0.71
Distance to the lowest polymorph of the same formula (meV/atom): 252
Space group: I4/mmm (139)

No. 8
Ac2ZrGe4Rh3 | PBE-GGA | relaxed

a = 4.353 Å, b = 4.353 Å, c = 11.063 Å
α = 90.00°, β = 90.00°, γ = 90.00°
Element x y z (fractional)
Ac: 0.000 0.500 0.235
Ac: 0.500 0.000 0.765
Zr: 0.000 0.000 0.500
Ge: 0.000 0.000 0.000
Ge: 0.000 0.500 0.650
Ge: 0.500 0.000 0.350
Ge: 0.500 0.500 0.000
Rh: 0.000 0.500 0.884
Rh: 0.500 0.000 0.116
Rh: 0.500 0.500 0.500

## Properties
Space group: P-4m2 (115)
Formation enthalpy at 0 K (eV/atom): -0.79

No. 9
ZnGa3Pt3 | PBE-GGA | relaxed

a = 5.339 Å, b = 5.339 Å, c = 5.339 Å
α = 109.78°, β = 109.78°, γ = 109.78°
Element x y z (fractional)
Zn: 0.000 0.000 0.000
Ga: 0.499 0.499 0.999
Ga: 0.499 0.999 0.499
Ga: 0.999 0.499 0.499
Pt: 0.499 0.999 0.999
Pt: 0.999 0.499 0.999
Pt: 0.999 0.999 0.499

## Properties
Distance to the lowest polymorph of the same formula (meV/atom): 0
Space group: R3m (160)
Formation enthalpy at 0 K (eV/atom): -0.45

No. 10
Nb3Tl | PBE-GGA | relaxed

a = 5.355 Å, b = 5.355 Å, c = 5.355 Å
α = 90.00°, β = 90.00°, γ = 90.00°
Element x y z (fractional)
Nb: 0.000 0.250 0.500
Nb: 0.000 0.750 0.500
Nb: 0.250 0.500 0.000
Nb: 0.500 0.000 0.250
Nb: 0.500 0.000 0.750
Nb: 0.750 0.500 0.000
Tl: 0.000 0.000 0.000
Tl: 0.500 0.500 0.500

## Properties
Space group: Pm-3n (223)
Formation enthalpy at 0 K (eV/atom): 0.19

No. 11
Li2LaIr | PBE-GGA | relaxed

a = 4.083 Å, b = 8.674 Å, c = 5.218 Å
α = 90.00°, β = 112.87°, γ = 90.00°
Element x y z (fractional)
Li: 0.173 0.053 0.346
Li: 0.173 0.447 0.346
Li: 0.827 0.553 0.654
Li: 0.827 0.947 0.654
La: 0.446 0.250 0.893
La: 0.554 0.750 0.107
Ir: 0.252 0.750 0.504
Ir: 0.748 0.250 0.496

## Properties
Distance to the lowest polymorph of the same formula (meV/atom): 39
Space group: P2_1/m (11)
Formation enthalpy at 0 K (eV/atom): -0.30

No. 12
PmPr9Sm2 | PBE-GGA | relaxed

a = 5.222 Å, b = 5.222 Å, c = 15.673 Å
α = 90.00°, β = 90.00°, γ = 90.00°
Element x y z (fractional)
Pm: 0.000 0.000 0.000
Pr: 0.000 0.500 0.167
Pr: 0.000 0.500 0.500
Pr: 0.000 0.500 0.833
Pr: 0.500 0.000 0.167
Pr: 0.500 0.000 0.500
Pr: 0.500 0.000 0.833
Pr: 0.500 0.500 0.000
Pr: 0.500 0.500 0.334
Pr: 0.500 0.500 0.666
Sm: 0.000 0.000 0.333
Sm: 0.000 0.000 0.667

## Properties
Space group: P4/mmm (123)
Formation enthalpy at 0 K (eV/atom): 0.01

no.,total magnetic moment (μB per formula unit),calculated volume (Å³/f.u.)
1,0.0,55
2,0.4,136
3,0.0,146
4,0.0,69
5,0.0,150
6,0.0,96
7,1.0,292
8,0.0,210
9,0.0,116
10,0.0,77
11,0.0,85
12,0.0,427